Entry 1:
Computed, not measured: a relaxed MgCuBi crystal at the PBE level of DFT.

Values from the calculation:
Volume: 22.8 Å³ per atom
Formation energy from the elements: -5 kJ/mol of atoms

Lattice parameters (Å, degrees): 4.4575 4.4600 7.9507 90.00 90.00 60.01
Sites, in units of the cell vectors:
Mg  0.3075  0.1089  0.3536
Mg  0.6409  0.4422  0.8536
Bi  0.9740  0.7754  0.5801
Bi  0.9746  0.7753  0.1271
Cu  0.3073  0.1089  0.6992
Cu  0.3078  0.1088  0.0080

---

Entry 2:
Computed, not measured: a relaxed Y2HoPa2Co5 crystal at the PBE level of DFT.

Values from the calculation:
Volume: 19.0 Å³ per atom
Formation energy from the elements: -14 kJ/mol of atoms

Lattice parameters (Å, degrees): 3.4561 10.4949 10.4949 90.00 90.00 90.00
Sites, in units of the cell vectors:
Y  0.0000  0.6716  0.1716
Y  0.0000  0.3284  0.8284
Y  0.0000  0.1716  0.3284
Y  0.0000  0.8284  0.6716
Ho  0.0000  0.0000  0.0000
Ho  0.0000  0.5000  0.5000
Pa  0.0000  0.1353  0.6353
Pa  0.0000  0.8647  0.3647
Pa  0.0000  0.6353  0.8647
Pa  0.0000  0.3647  0.1353
Co  0.5000  0.2228  0.0407
Co  0.5000  0.7772  0.9593
Co  0.5000  0.0407  0.7772
Co  0.5000  0.7228  0.4593
Co  0.5000  0.9593  0.2228
Co  0.5000  0.2772  0.5407
Co  0.5000  0.5407  0.7228
Co  0.5000  0.4593  0.2772
Co  0.5000  0.5000  0.0000
Co  0.5000  0.0000  0.5000

---

Entry 3:
Computed, not measured: a relaxed Na4Dy3MnTe8 crystal at the PBE level of DFT.

Values from the calculation:
Volume: 31.0 Å³ per atom
Formation energy (no corrections): -1.07 eV/atom

Lattice parameters (Å, degrees): 8.7021 9.0866 8.7027 118.62 120.00 90.00
Last column: magnetic moment on the atom in μB.
Sites, in units of the cell vectors:
Na  0.5000  0.0000  0.0000  0.01
Na  0.5000  0.0000  0.5000  0.00
Na  0.0000  0.0000  0.0000  0.00
Na  0.0000  0.0000  0.5000  0.00
Dy  0.5000  0.5000  0.0000  0.02
Dy  0.5000  0.5000  0.5000  0.02
Dy  0.0000  0.5000  0.5000  0.02
Mn  0.0000  0.5000  0.0000  3.94
Te  0.2321  0.7229  0.9908  -0.03
Te  0.2324  0.7231  0.4647  -0.03
Te  0.2552  0.2656  0.5104  0.00
Te  0.7587  0.7229  0.9908  -0.03
Te  0.2413  0.2771  0.0092  -0.03
Te  0.7448  0.7344  0.4896  0.00
Te  0.7676  0.2769  0.5353  -0.03
Te  0.7679  0.2771  0.0092  -0.03

---

Entry 4:
Computed, not measured: a relaxed Sb2AsI crystal at the PBE level of DFT.

Values from the calculation:
Volume: 37.0 Å³ per atom
Formation energy (no corrections): 0.04 eV/atom
Distance to the lowest polymorph of the same formula: 0 meV per atom

Lattice parameters (Å, degrees): 8.4726 7.2943 9.6286 90.00 84.94 90.00
Sites, in units of the cell vectors:
Sb  0.6338  0.6952  0.2959
Sb  0.1338  0.8048  0.2959
Sb  0.9891  0.1666  0.3437
Sb  0.8662  0.1952  0.7041
Sb  0.0109  0.8334  0.6563
Sb  0.5109  0.6666  0.6563
Sb  0.3662  0.3048  0.7041
Sb  0.4891  0.3334  0.3437
As  0.6072  0.1336  0.5484
As  0.1072  0.3664  0.5484
As  0.3928  0.8664  0.4516
As  0.8928  0.6336  0.4516
I  0.1667  0.3286  0.1071
I  0.3333  0.8286  0.8929
I  0.6667  0.1714  0.1071
I  0.8333  0.6714  0.8929

---

Entry 5:
Computed, not measured: a relaxed CaCuRu2 crystal at the PBE level of DFT.

Values from the calculation:
Volume: 16.2 Å³ per atom
Distance to the lowest polymorph of the same formula: 214 meV per atom
Formation energy from the elements: 43 kJ/mol of atoms

Lattice parameters (Å, degrees): 4.4293 3.8251 3.8251 90.00 90.00 90.00
Sites, in units of the cell vectors:
Ru  0.0000  0.0000  0.0000
Ru  0.0000  0.5000  0.5000
Ca  0.5000  0.5000  0.0000
Cu  0.5000  0.0000  0.5000

---

Entry 6:
Computed, not measured: a relaxed LiDyPuGa crystal at the PBE level of DFT.

Values from the calculation:
Volume: 23.3 Å³ per atom
Formation energy from the elements: -10 kJ/mol of atoms

Lattice parameters (Å, degrees): 5.0890 5.0890 5.0890 60.00 60.00 60.00
Last column: magnetic moment on the atom in μB.
Sites, in units of the cell vectors:
Dy  0.0000  0.0000  0.0000  0.27
Li  0.2500  0.2500  0.2500  0.05
Ga  0.7500  0.7500  0.7500  -0.06
Pu  0.5000  0.5000  0.5000  5.43

---

Entry 7:
Computed, not measured: a relaxed TlAg2Pb crystal at the PBE level of DFT.

Values from the calculation:
Volume: 24.1 Å³ per atom
Distance to the lowest polymorph of the same formula: 76 meV per atom
Formation energy from the elements: 15 kJ/mol of atoms

Lattice parameters (Å, degrees): 3.6981 5.5379 6.1502 50.03 90.00 90.00
Sites, in units of the cell vectors:
Pb  0.5000  0.5000  0.5000
Tl  0.0000  0.0000  0.5000
Ag  0.0000  0.0000  0.0000
Ag  0.5000  0.5000  0.0000

---

Entry 8:
Computed, not measured: a relaxed Sr2CoSbAs crystal at the PBE level of DFT.

Values from the calculation:
Volume: 29.1 Å³ per atom
Formation energy (no corrections): -0.46 eV/atom

Lattice parameters (Å, degrees): 5.8148 4.3032 5.8148 90.00 90.00 90.00
Sites, in units of the cell vectors:
Sb  0.5000  0.5000  0.5000
As  0.0000  0.5000  0.0000
Co  0.0000  0.0000  0.0000
Sr  0.0000  0.0000  0.5000
Sr  0.5000  0.0000  0.0000

---

Entry 9:
Computed, not measured: a relaxed Cu12Ni7Ir crystal at the PBE level of DFT.

Values from the calculation:
Volume: 12.1 Å³ per atom
Formation energy from the elements: 12 kJ/mol of atoms

Lattice parameters (Å, degrees): 6.6288 6.6288 6.6288 107.10 107.10 107.10
Sites, in units of the cell vectors:
Cu  0.7735  0.3262  0.6147
Cu  0.6738  0.3853  0.2265
Cu  0.3957  0.0552  0.2974
Cu  0.9448  0.7026  0.6043
Cu  0.3853  0.2265  0.6738
Cu  0.7026  0.6043  0.9448
Cu  0.2974  0.3957  0.0552
Cu  0.6147  0.7735  0.3262
Cu  0.0552  0.2974  0.3957
Cu  0.6043  0.9448  0.7026
Cu  0.3262  0.6147  0.7735
Cu  0.2265  0.6738  0.3853
Ni  0.1085  0.6724  0.9943
Ni  0.3276  0.0057  0.8915
Ni  0.0057  0.8915  0.3276
Ni  0.5000  0.5000  0.5000
Ni  0.9943  0.1085  0.6724
Ni  0.6724  0.9943  0.1085
Ni  0.8915  0.3276  0.0057
Ir  0.0000  0.0000  0.0000

---

no.,DOS at the Fermi energy (states/eV/f.u.)
1,0.5
2,4.8
3,3.7
4,0.6
5,4.4
6,6.2
7,1.5
8,2.7
9,19.6